#one
A geometry-optimized TcBr3N structure. Source: Alexandria via LeMat-Bulk, functional GGA-PBE.

```
TcBr3N
1.0
4.067 -7.109 0.000
4.067 7.109 0.000
-1.600 0.000 11.953
Tc Br N
4 12 4
Direct
0.006 0.876 0.859
0.124 0.994 0.641
0.876 0.006 0.359
0.994 0.124 0.141
0.011 0.803 0.440
0.191 0.434 0.070
0.197 0.989 0.060
0.205 0.255 0.321
0.255 0.205 0.821
0.434 0.191 0.570
0.566 0.809 0.430
0.745 0.795 0.179
0.795 0.745 0.679
0.803 0.011 0.940
0.809 0.566 0.930
0.989 0.197 0.560
0.176 0.774 0.793
0.226 0.824 0.707
0.774 0.176 0.293
0.824 0.226 0.207
```

Values from the calculation:
Space-group type: C2/c
Density of states at the Fermi level: 3.075 states/eV/cell
Calculated volume: 34.56 Å³ per atom


#two
A geometry-optimized TcBr3N structure. Source: Alexandria via LeMat-Bulk, functional GGA-PBE.

```
TcBr3N
1.0
4.977 0.000 0.000
0.000 4.977 0.000
0.000 0.000 4.977
Tc Br N
1 3 1
Direct
0.000 0.000 0.000
0.000 0.000 0.500
0.000 0.500 0.000
0.500 0.000 0.000
0.500 0.500 0.500
```

Values from the calculation:
Space-group type: Pm-3m
Density of states at the Fermi level: 8.529 states/eV/cell
Calculated volume: 24.66 Å³ per atom


#three
A geometry-optimized TcBr3N structure. Source: Alexandria via LeMat-Bulk, functional GGA-PBE.

```
TcBr3N
1.0
4.735 0.000 0.000
0.000 4.735 0.000
0.000 0.000 4.735
Tc Br N
1 3 1
Direct
0.000 0.000 0.000
0.000 0.500 0.500
0.500 0.000 0.500
0.500 0.500 0.000
0.500 0.500 0.500
```

Values from the calculation:
Space-group type: Pm-3m
Density of states at the Fermi level: 3.282 states/eV/cell
Calculated volume: 21.23 Å³ per atom


If you had to name the least stable structure above, which would it be? It would be #two.